DFT (PBE) results for a geometry-optimized LiBAuSe2 structure.

The total moment comes out at 0.0 μB per cell. As for the raw formation energy: 0.43 eV/atom.

Lattice parameters (Å, degrees): 5.343 5.343 4.061 90.00 90.00 90.00
Space group P4/mmm (No. 123)
Asymmetric unit:
Li  0.000  0.000  0.000
B  0.500  0.500  0.000
Au  0.500  0.500  0.500
Se  0.000  0.500  0.500



DFT (PBE) results for a geometry-optimized LiSiBAu2 structure.

The total moment comes out at 0.0 μB per cell. As for the raw formation energy: 0.32 eV/atom.

Lattice parameters (Å, degrees): 4.324 4.324 4.301 90.00 90.00 90.00
Space group P4/mmm (No. 123)
Asymmetric unit:
Li  0.000  0.000  0.000
Si  0.500  0.500  0.000
B  0.000  0.000  0.500
Au  0.000  0.500  0.500



DFT (PBE) results for a geometry-optimized LiSn2BAu structure.

The formation energy comes out at 0.55 eV/atom. The total moment comes out at 0.0 μB per cell.

Lattice parameters (Å, degrees): 5.626 5.626 4.056 90.00 90.00 90.00
Space group P4/mmm (No. 123)
Asymmetric unit:
Li  0.000  0.000  0.000
Sn  0.000  0.500  0.500
B  0.500  0.500  0.000
Au  0.500  0.500  0.500



DFT (PBE) results for a geometry-optimized Li2TlBAu structure.

The formation energy comes out at 0.03 eV/atom. The total moment comes out at 0.0 μB per cell.

Lattice parameters (Å, degrees): 4.665 4.665 4.101 90.00 90.00 90.00
Space group P4/mmm (No. 123)
Asymmetric unit:
Li  0.000  0.500  0.000
Tl  0.000  0.000  0.500
B  0.500  0.500  0.000
Au  0.500  0.500  0.500



DFT (PBE) results for a geometry-optimized LiV2BAu structure.

The formation energy comes out at 0.26 eV/atom. The total moment comes out at 0.0 μB per cell.

Lattice parameters (Å, degrees): 4.076 4.076 4.276 90.00 90.00 90.00
Space group P4/mmm (No. 123)
Asymmetric unit:
Li  0.000  0.000  0.000
V  0.000  0.500  0.500
B  0.500  0.500  0.500
Au  0.500  0.500  0.000



DFT (PBE) results for a geometry-optimized MgB3Au structure.

The formation energy comes out at 1.64 eV/atom. The total moment comes out at 0.0 μB per cell.

Lattice parameters (Å, degrees): 4.251 4.251 4.251 90.00 90.00 90.00
Space group Pm-3m (No. 221)
Asymmetric unit:
Mg  0.000  0.000  0.000
B  0.000  0.500  0.500
Au  0.500  0.500  0.500



Let's list calculated total energy in order: -3.334; -3.791; -3.423; -3.201; -5.761; -3.344 eV/atom.